Record 1
ReSiOs2 | PBE | optimized geometry

a = 4.4682 Å, b = 4.4682 Å, c = 2.8576 Å
α = 90.00°, β = 90.00°, γ = 90.00°
Positions (direct):
Re: 0.0000 0.0000 0.0000
Si: 0.5000 0.5000 0.0000
Os: 0.0000 0.5000 0.5000
Os: 0.5000 0.0000 0.5000

Output
Fermi-level density of states, states/eV per cell: 4.14
Uncorrected formation energy, eV/atom: 0.299

Record 2
LiAg5 | PBE | optimized geometry

a = 5.4825 Å, b = 5.4825 Å, c = 5.4825 Å
α = 60.00°, β = 60.00°, γ = 60.00°
Positions (direct):
Li: 0.0000 0.0000 0.0000
Ag: 0.3750 0.3750 0.3750
Ag: 0.3750 0.3750 0.8749
Ag: 0.3750 0.8749 0.3750
Ag: 0.7500 0.7500 0.7500
Ag: 0.8749 0.3750 0.3750

Output
Fermi-level density of states, states/eV per cell: 1.50
E above lowest polymorph, eV/f.u.: 0.67
Energy of formation, eV per formula unit: 0.17

Record 3
La8HC3Br4 | PBE | optimized geometry

a = 8.8535 Å, b = 8.8535 Å, c = 8.8535 Å
α = 52.02°, β = 52.02°, γ = 52.02°
Positions (direct):
La: 0.2120 0.7382 0.7382
La: 0.2287 0.2287 0.2287
La: 0.2618 0.2618 0.7880
La: 0.2618 0.7880 0.2618
La: 0.7382 0.2120 0.7382
La: 0.7382 0.7382 0.2120
La: 0.7713 0.7713 0.7713
La: 0.7880 0.2618 0.2618
H: 0.5000 0.5000 0.5000
C: 0.0000 0.0000 0.5000
C: 0.0000 0.5000 0.0000
C: 0.5000 0.0000 0.0000
Br: 0.0000 0.0000 0.0000
Br: 0.0000 0.5000 0.5000
Br: 0.5000 0.0000 0.5000
Br: 0.5000 0.5000 0.0000

Output
VASP energy, Ha/atom: -0.2095
Fermi-level density of states, states/eV per cell: 7.48

Record 4
TaCr2HIr | PBE | optimized geometry

a = 3.7923 Å, b = 3.7923 Å, c = 4.0853 Å
α = 90.00°, β = 90.00°, γ = 90.00°
Positions (direct):
Ta: 0.0000 0.0000 0.0000
Cr: 0.0000 0.5000 0.5000
Cr: 0.5000 0.0000 0.5000
H: 0.0000 0.0000 0.5000
Ir: 0.5000 0.5000 0.0000

Output
Fermi-level density of states, states/eV per cell: 6.22
E above lowest polymorph, eV/f.u.: 0.00

Among the records above, which one has the highest Fermi-level density of states? La8HC3Br4